Entry from the Alexandria database: an optimized crystal structure of TlVBiF6 (PBE+U).

Its electronic total energy is -5.131 eV per atom. The density of states at the Fermi level comes out at 0.00 states/eV per cell. Its magnetization is 3.00 μB/f.u.

Structure (POSCAR):
```
TlVBiF6
1.0
6.0317 0.0000 0.0000
-3.0158 5.2236 0.0000
0.0000 0.0000 11.3258
Bi V F Tl
2 2 12 2
Direct
0.6667 0.3333 0.2500
0.3333 0.6667 0.7500
0.3333 0.6667 0.2500
0.6667 0.3333 0.7500
0.6157 0.6345 0.1486
0.6345 0.0188 0.8514
0.3655 0.3843 0.3514
0.3655 0.9812 0.1486
0.0188 0.3843 0.1486
0.9812 0.6157 0.8514
0.3843 0.3655 0.8514
0.3843 0.0188 0.6486
0.9812 0.3655 0.6486
0.6345 0.6157 0.6486
0.0188 0.6345 0.3514
0.6157 0.9812 0.3514
0.0000 0.0000 0.0000
0.0000 0.0000 0.5000
```